# LiPa2O6

A relaxed LiPa2O6 crystal (PBE-GGA, the Alexandria database).

The structure in extended XYZ format:
```
9
Lattice="-2.0064 1.2474 2.6290 -1.2231 -5.5664 1.7076 4.7190 2.8348 2.2565" Properties=species:S:1:pos:R:3 pbc="T T T"
Li -1.0032 0.6237 1.3145
O -1.5170 -1.7146 2.0318
O 1.0242 -0.9605 3.6134
O -0.8814 -4.0114 1.2306
O 0.9766 -0.7631 1.1074
O 0.9791 1.8145 2.2624
O 3.4007 2.0429 1.6261
Pa 0.7576 -2.7660 1.8906
Pa 2.7383 0.0344 2.0735
```

Summary:
DOS at the Fermi energy ... 4.85 states/eV/cell
SG ... P-62m, No. 189
Polymorph energy (0 for the lowest one) ... 302.8 meV/atom

# Si5C

A relaxed Si5C crystal (PBE-GGA, the Alexandria database).

The structure in extended XYZ format:
```
6
Lattice="-6.0062 1.7867 -1.5084 4.9185 -0.8961 4.0679 1.4818 4.2610 -0.8529" Properties=species:S:1:pos:R:3 pbc="T T T"
Si -1.6623 3.0324 -0.0958
Si -1.7342 0.7376 0.6722
Si 0.6465 0.1530 1.8873
Si 2.0563 2.1192 1.8023
Si 0.7409 2.1305 -0.4265
C 0.0000 0.0000 0.0000
```

Summary:
DOS at the Fermi energy ... 1.69 states/eV/cell
SG ... Cmmm, No. 65
Polymorph energy (0 for the lowest one) ... 25.4 meV/atom

# EuDyHgPt

A relaxed EuDyHgPt crystal (PBE-GGA, the Alexandria database).

The structure in extended XYZ format:
```
4
Lattice="-4.7286 1.1372 -1.7362 -2.5824 -3.4171 -2.8847 -4.1191 -2.4318 1.9459" Properties=species:S:1:pos:R:3 pbc="T T T"
Eu -2.8575 -1.1779 -0.6687
Pt -5.7150 -2.3559 -1.3375
Dy -8.5725 -3.5338 -2.0062
Hg 0.0000 0.0000 0.0000
```

Summary:
Raw total energy ... -24.117 eV for the cell shown
DOS at the Fermi energy ... 8.74 states/eV/cell
SG ... F-43m, No. 216

# PmDyCu2S4

A relaxed PmDyCu2S4 crystal (PBE-GGA, the Alexandria database).

The structure in extended XYZ format:
```
8
Lattice="-1.7318 -4.7172 -4.1514 3.6165 -1.9938 -4.3600 1.6146 -5.7380 0.7295" Properties=species:S:1:pos:R:3 pbc="T T T"
S 2.2222 -8.8481 -3.6620
S 4.0022 -4.7808 -3.9160
S 0.3619 -5.3128 -1.7930
S 0.4124 -5.9564 -6.1928
Cu 2.0657 -9.0948 -5.8783
Cu 1.4337 -3.3542 -1.9037
Pm 0.0000 0.0000 0.0000
Dy 1.7497 -6.2245 -3.8910
```

Summary:
Raw total energy ... -43.680 eV for the cell shown
DOS at the Fermi energy ... 0.80 states/eV/cell
SG ... I222, No. 23

# Pm3NdHoTm

A relaxed Pm3NdHoTm crystal (PBE-GGA, the Alexandria database).

The structure in extended XYZ format:
```
12
Lattice="5.1181 0.0000 0.0000 0.0000 7.9651 -1.1566 0.0000 -3.3559 10.2657" Properties=species:S:1:pos:R:3 pbc="T T T"
Nd 3.8386 4.6140 6.2474
Nd 1.2795 -0.0048 2.8617
Pm 3.8386 6.8068 -0.5738
Pm 3.8386 2.3141 1.6974
Pm 1.2795 2.2951 7.4117
Pm 1.2795 3.4671 3.9714
Pm 3.8386 1.1421 5.1377
Pm 1.2795 -2.1976 9.6828
Tm 3.8386 5.7113 2.8390
Tm 1.2795 -1.1021 6.2701
Ho 3.8386 0.0511 8.5468
Ho 1.2795 4.5581 0.5623
```

Summary:
Raw total energy ... -55.865 eV for the cell shown
DOS at the Fermi energy ... 17.77 states/eV/cell
SG ... P2_1/m, No. 11

# CsK2Pb2

A relaxed CsK2Pb2 crystal (PBE-GGA, the Alexandria database).

The structure in extended XYZ format:
```
5
Lattice="4.6054 0.0000 0.0000 0.0000 4.6054 0.0000 2.3027 2.3027 14.1749" Properties=species:S:1:pos:R:3 pbc="T T T"
Pb 4.6054 2.3027 7.0874
Pb 2.3027 4.6054 7.0874
K 2.3027 2.3027 4.0908
K 4.6053 4.6053 10.0840
Cs 0.0000 0.0000 0.0000
```

Summary:
DOS at the Fermi energy ... 5.24 states/eV/cell
SG ... I4/mmm, No. 139
Polymorph energy (0 for the lowest one) ... 170.9 meV/atom